(1)
{"formula": "CeMg2Sc2", "functional": "PBE", "state": "optimized geometry", "lattice_angstrom": [[3.259, -0.004, 0.012], [1.626, 2.825, 0.012], [-0.032, -0.018, 13.301]], "species": ["Mg", "Sc", "Sc", "Ce", "Mg"], "frac_coords": [[0.332, 0.332, 0.599], [0.665, 0.665, 0.798], [0.335, 0.335, 0.202], [0.000, 0.000, 0.000], [0.668, 0.668, 0.401]], "e_form_mev_per_atom": 25, "density_g_cm3": 3.8, "vol_a3_per_atom": 24.51, "dos_ef_per_ev_cell": 7.2}

=====

(2)
{"formula": "Ce2Mg6Sc", "functional": "PBE", "state": "optimized geometry", "lattice_angstrom": [[1.813, 3.479, -8.190], [-4.177, -8.033, 0.697], [-2.801, 1.456, -0.002]], "species": ["Ce", "Mg", "Mg", "Mg", "Mg", "Sc", "Ce", "Mg", "Mg"], "frac_coords": [[0.333, 0.667, 0.000], [0.674, 0.000, 0.500], [0.326, 0.326, 0.500], [0.674, 0.674, 0.500], [0.000, 0.326, 0.500], [0.000, 0.000, 0.000], [0.667, 0.333, 0.000], [0.000, 0.674, 0.500], [0.326, 0.000, 0.500]], "e_form_mev_per_atom": -4, "density_g_cm3": 3.5, "vol_a3_per_atom": 25.05, "dos_ef_per_ev_cell": 16.2}

=====

(3)
{"formula": "CeMg14Sc", "functional": "PBE", "state": "optimized geometry", "lattice_angstrom": [[-6.132, -0.819, -2.936], [-0.655, -6.088, 3.066], [-3.502, 3.561, 6.322]], "species": ["Ce", "Mg", "Mg", "Mg", "Mg", "Sc", "Mg", "Mg", "Mg", "Mg", "Mg", "Mg", "Mg", "Mg", "Mg", "Mg"], "frac_coords": [[0.375, 0.375, 0.500], [0.119, 0.631, 0.242], [0.119, 0.119, 0.758], [0.375, 0.375, 0.000], [0.875, 0.375, 0.500], [0.875, 0.875, 0.500], [0.375, 0.875, 0.000], [0.875, 0.375, 0.000], [0.375, 0.875, 0.500], [0.119, 0.631, 0.758], [0.631, 0.631, 0.242], [0.631, 0.119, 0.758], [0.119, 0.119, 0.242], [0.875, 0.875, 0.000], [0.631, 0.631, 0.758], [0.631, 0.119, 0.242]], "e_form_mev_per_atom": 7, "density_g_cm3": 2.3, "vol_a3_per_atom": 23.61, "dos_ef_per_ev_cell": 15.0}

=====

(4)
{"formula": "CeMg2Sc3", "functional": "PBE", "state": "optimized geometry", "lattice_angstrom": [[3.300, 0.000, 0.000], [0.000, 3.300, 0.000], [0.000, 0.000, 13.411]], "species": ["Sc", "Mg", "Sc", "Ce", "Mg", "Sc"], "frac_coords": [[0.000, 0.000, 0.000], [0.500, 0.500, 0.840], [0.000, 0.000, 0.676], [0.500, 0.500, 0.500], [0.500, 0.500, 0.160], [0.000, 0.000, 0.324]], "e_form_mev_per_atom": 5, "density_g_cm3": 3.7, "vol_a3_per_atom": 24.34, "dos_ef_per_ev_cell": 9.5}

=====

(5)
{"formula": "Ce2Mg4Sc7", "functional": "PBE", "state": "optimized geometry", "lattice_angstrom": [[-0.551, -4.645, -3.228], [-1.381, -0.189, 5.510], [-11.153, 3.189, -2.686]], "species": ["Sc", "Sc", "Ce", "Mg", "Mg", "Sc", "Sc", "Mg", "Sc", "Mg", "Sc", "Ce", "Sc"], "frac_coords": [[0.636, 0.000, 0.782], [0.636, 0.636, 0.218], [0.333, 0.667, 0.000], [0.000, 0.000, 0.610], [0.000, 0.000, 0.390], [0.364, 0.000, 0.218], [0.000, 0.364, 0.218], [0.333, 0.667, 0.500], [0.000, 0.000, 0.000], [0.667, 0.333, 0.500], [0.000, 0.636, 0.782], [0.667, 0.333, 0.000], [0.364, 0.364, 0.782]], "e_form_mev_per_atom": 171, "density_g_cm3": 3.5, "vol_a3_per_atom": 25.62, "dos_ef_per_ev_cell": 11.9}

=====

(6)
{"formula": "CeMg3Sc4", "functional": "PBE", "state": "optimized geometry", "lattice_angstrom": [[-2.630, -1.861, -1.145], [0.703, -2.417, 2.314], [-9.967, 7.438, 10.800]], "species": ["Mg", "Sc", "Sc", "Ce", "Mg", "Sc", "Mg", "Sc"], "frac_coords": [[0.500, 0.500, 0.500], [0.000, 0.000, 0.137], [0.000, 0.000, 0.863], [0.500, 0.500, 0.000], [0.500, 0.500, 0.260], [0.000, 0.000, 0.382], [0.500, 0.500, 0.740], [0.000, 0.000, 0.618]], "e_form_mev_per_atom": -5, "density_g_cm3": 3.4, "vol_a3_per_atom": 24.07, "dos_ef_per_ev_cell": 10.7}

=====

(7)
{"formula": "CeMg3Sc6", "functional": "PBE", "state": "optimized geometry", "lattice_angstrom": [[6.017, 0.000, 0.000], [-3.009, 5.211, 0.000], [0.000, 0.000, 8.008]], "species": ["Sc", "Mg", "Mg", "Sc", "Sc", "Sc", "Sc", "Mg", "Ce", "Sc"], "frac_coords": [[0.000, 0.596, 0.186], [0.000, 0.000, 0.500], [0.667, 0.333, 0.500], [0.000, 0.404, 0.814], [0.404, 0.000, 0.814], [0.596, 0.596, 0.814], [0.404, 0.404, 0.186], [0.333, 0.667, 0.500], [0.000, 0.000, 0.000], [0.596, 0.000, 0.186]], "e_form_mev_per_atom": 252, "density_g_cm3": 3.2, "vol_a3_per_atom": 25.11, "dos_ef_per_ev_cell": 16.8}

=====

(8)
{"formula": "CeMg5Sc2", "functional": "PBE", "state": "optimized geometry", "lattice_angstrom": [[-2.558, -3.179, -3.211], [4.343, -2.749, -0.738], [-2.614, -1.241, 7.510]], "species": ["Ce", "Sc", "Mg", "Mg", "Mg", "Mg", "Sc", "Mg"], "frac_coords": [[0.000, 0.000, 0.000], [0.257, 0.257, 0.515], [0.500, 0.500, 0.000], [0.369, 0.869, 0.738], [0.131, 0.631, 0.262], [0.631, 0.131, 0.262], [0.743, 0.743, 0.485], [0.869, 0.369, 0.738]], "e_form_mev_per_atom": -16, "density_g_cm3": 3.0, "vol_a3_per_atom": 24.14, "dos_ef_per_ev_cell": 10.0}

=====

(9)
{"formula": "Ce2Mg2Sc", "functional": "PBE", "state": "optimized geometry", "lattice_angstrom": [[0.248, 2.150, -2.256], [1.846, -1.925, -1.631], [-11.174, -4.965, -3.791]], "species": ["Ce", "Mg", "Ce", "Mg", "Sc"], "frac_coords": [[0.801, 0.801, 0.603], [0.593, 0.593, 0.186], [0.199, 0.199, 0.397], [0.407, 0.407, 0.814], [0.000, 0.000, 0.000]], "e_form_mev_per_atom": 23, "density_g_cm3": 5.0, "vol_a3_per_atom": 24.65, "dos_ef_per_ev_cell": 9.7}

=====

(10)
{"formula": "CeMgSc6", "functional": "PBE", "state": "optimized geometry", "lattice_angstrom": [[4.655, 0.000, 0.000], [0.000, 4.655, 0.000], [0.000, 0.000, 9.198]], "species": ["Ce", "Sc", "Sc", "Sc", "Sc", "Sc", "Mg", "Sc"], "frac_coords": [[0.000, 0.000, 0.000], [0.000, 0.500, 0.252], [0.500, 0.500, 0.500], [0.500, 0.000, 0.748], [0.500, 0.000, 0.252], [0.500, 0.500, 0.000], [0.000, 0.000, 0.500], [0.000, 0.500, 0.748]], "e_form_mev_per_atom": 73, "density_g_cm3": 3.6, "vol_a3_per_atom": 24.91, "dos_ef_per_ev_cell": 16.5}

=====

(11)
{"formula": "CeMg4Sc3", "functional": "PBE", "state": "optimized geometry", "lattice_angstrom": [[-2.805, -1.793, 1.390], [0.316, -3.478, -3.851], [6.498, -5.735, 5.712]], "species": ["Sc", "Mg", "Mg", "Mg", "Mg", "Sc", "Ce", "Sc"], "frac_coords": [[0.500, 0.000, 0.249], [0.000, 0.500, 0.263], [0.000, 0.000, 0.000], [0.000, 0.500, 0.737], [0.000, 0.000, 0.500], [0.500, 0.500, 0.500], [0.500, 0.500, 0.000], [0.500, 0.000, 0.751]], "e_form_mev_per_atom": 11, "density_g_cm3": 3.2, "vol_a3_per_atom": 24.33, "dos_ef_per_ev_cell": 12.0}

=====

(12)
{"formula": "CeMg15Sc4", "functional": "PBE", "state": "optimized geometry", "lattice_angstrom": [[-4.488, 0.973, -0.286], [-0.505, -3.270, -3.197], [-4.264, -14.964, 15.978]], "species": ["Ce", "Mg", "Mg", "Sc", "Mg", "Mg", "Mg", "Mg", "Mg", "Mg", "Mg", "Mg", "Mg", "Sc", "Sc", "Sc", "Mg", "Mg", "Mg", "Mg"], "frac_coords": [[0.000, 0.000, 0.000], [0.000, 0.500, 0.305], [0.500, 0.500, 0.000], [0.000, 0.000, 0.597], [0.500, 0.000, 0.305], [0.500, 0.000, 0.500], [0.500, 0.000, 0.695], [0.000, 0.500, 0.500], [0.000, 0.500, 0.695], [0.500, 0.500, 0.597], [0.500, 0.000, 0.108], [0.500, 0.500, 0.792], [0.500, 0.000, 0.892], [0.000, 0.000, 0.207], [0.000, 0.000, 0.793], [0.000, 0.000, 0.403], [0.500, 0.500, 0.208], [0.500, 0.500, 0.403], [0.000, 0.500, 0.892], [0.000, 0.500, 0.108]], "e_form_mev_per_atom": -18, "density_g_cm3": 2.4, "vol_a3_per_atom": 23.61, "dos_ef_per_ev_cell": 23.2}

=====

Number 3 is which compound?
CeMg14Sc